# 1
# NaMnMo2 | Alexandria | PBE | optimized geometry
# Calculated formation energy = 1136 meV per atom
# E above lowest polymorph = 0.1412 eV per atom
data_NaMnMo2
_chemical_formula_sum 'Na4 Mn4 Mo8'
_space_group_name_H-M_alt 'I -4 2 d'
_space_group_IT_number 122
_space_group_name_Hall 'I -4 2bw'
_cell_length_a 3.750
_cell_length_b 3.750
_cell_length_c 20.113
_cell_angle_alpha 90.00
_cell_angle_beta 90.00
_cell_angle_gamma 90.00
loop_
_atom_site_label
_atom_site_type_symbol
_atom_site_fract_x
_atom_site_fract_y
_atom_site_fract_z
Na1 Na 0.000 0.000 0.000
Mn1 Mn 0.000 0.000 0.500
Mo1 Mo 0.225 0.250 0.625

# 2
# LiLaEuDy | Alexandria | PBE | optimized geometry
# Calculated formation energy = 197 meV per atom
data_LiLaEuDy
_chemical_formula_sum 'Li4 La4 Eu4 Dy4'
_space_group_name_H-M_alt 'F -4 3 m'
_space_group_IT_number 216
_space_group_name_Hall 'F -4 2 3'
_cell_length_a 8.098
_cell_length_b 8.098
_cell_length_c 8.098
_cell_angle_alpha 90.00
_cell_angle_beta 90.00
_cell_angle_gamma 90.00
loop_
_atom_site_label
_atom_site_type_symbol
_atom_site_fract_x
_atom_site_fract_y
_atom_site_fract_z
Li1 Li 0.000 0.000 0.000
La1 La 0.250 0.250 0.250
Eu1 Eu 0.250 0.250 0.750
Dy1 Dy 0.000 0.000 0.500

# 3
# Sm3Y4Ho | Alexandria | PBE | optimized geometry
# Calculated formation energy = 12 meV per atom
# E above lowest polymorph = 0.0000 eV per atom
data_Sm3Y4Ho
_chemical_formula_sum 'Sm6 Y8 Ho2'
_space_group_name_H-M_alt 'P m n 21'
_space_group_IT_number 31
_cell_length_a 11.416
_cell_length_b 7.329
_cell_length_c 6.333
_cell_angle_alpha 90.00
_cell_angle_beta 90.00
_cell_angle_gamma 90.00
loop_
_space_group_symop_operation_xyz
'x,y,z'
'-x+1/2,-y,z+1/2'
'-x,y,z'
'x+1/2,-y,z+1/2'
loop_
_atom_site_label
_atom_site_type_symbol
_atom_site_fract_x
_atom_site_fract_y
_atom_site_fract_z
Sm1 Sm 0.000 0.125 0.000
Sm2 Sm 0.250 0.125 0.330
Y1 Y 0.000 0.375 0.498
Y2 Y 0.000 0.624 0.997
Y3 Y 0.249 0.625 0.333
Ho1 Ho 0.000 0.873 0.499

# 4
# MnZn2Ni7As2 | Alexandria | PBE | optimized geometry
# Calculated formation energy = -2 meV per atom
data_MnZn2Ni7As2
_chemical_formula_sum 'Mn2 Zn4 Ni14 As4'
_space_group_name_H-M_alt 'C 1 2/m 1'
_space_group_IT_number 12
_cell_length_a 4.812
_cell_length_b 4.812
_cell_length_c 14.128
_cell_angle_alpha 90.00
_cell_angle_beta 99.66
_cell_angle_gamma 90.00
loop_
_space_group_symop_operation_xyz
'x,y,z'
'-x,-y,-z'
'-x,y,-z'
'x,-y,z'
'x+1/2,y+1/2,z'
'-x+1/2,-y+1/2,-z'
'-x+1/2,y+1/2,-z'
'x+1/2,-y+1/2,z'
loop_
_atom_site_label
_atom_site_type_symbol
_atom_site_fract_x
_atom_site_fract_y
_atom_site_fract_z
Mn1 Mn 0.000 0.000 0.000
Zn1 Zn 0.132 0.500 0.267
Ni1 Ni 0.000 0.500 0.000
Ni2 Ni 0.185 0.250 0.867
Ni3 Ni 0.224 0.500 0.449
As1 As 0.192 0.000 0.383

# 5
# Co2BrCl | Alexandria | PBE | optimized geometry
# Formation energy from raw total energies = 0.40 eV per atom
data_Co2BrCl
_chemical_formula_sum 'Co6 Br3 Cl3'
_space_group_name_H-M_alt 'R -3 m'
_space_group_IT_number 166
_space_group_name_Hall '-R 3 2"'
_cell_length_a 3.4606
_cell_length_b 3.4606
_cell_length_c 19.7800
_cell_angle_alpha 90.00
_cell_angle_beta 90.00
_cell_angle_gamma 120.00
loop_
_atom_site_label
_atom_site_type_symbol
_atom_site_fract_x
_atom_site_fract_y
_atom_site_fract_z
Co1 Co 0.0000 0.0000 0.2466
Br1 Br 0.0000 0.0000 0.0000
Cl1 Cl 0.0000 0.0000 0.5000

# 6
# NbFeAg2Cl | Alexandria | PBE | optimized geometry
# Formation energy from raw total energies = 1.37 eV per atom
data_NbFeAg2Cl
_chemical_formula_sum 'Nb1 Fe1 Ag2 Cl1'
_space_group_name_H-M_alt 'P 4/m m m'
_space_group_IT_number 123
_space_group_name_Hall '-P 4 2'
_cell_length_a 5.386
_cell_length_b 5.386
_cell_length_c 4.261
_cell_angle_alpha 90.00
_cell_angle_beta 90.00
_cell_angle_gamma 90.00
loop_
_atom_site_label
_atom_site_type_symbol
_atom_site_fract_x
_atom_site_fract_y
_atom_site_fract_z
Nb1 Nb 0.000 0.000 0.000
Fe1 Fe 0.000 0.000 0.500
Ag1 Ag 0.000 0.500 0.000
Cl1 Cl 0.500 0.500 0.500

N(E_F)
In order: 12.16 22.54 29.11 27.82 12.19 4.88
Unit: states/eV per cell